1.
Below is crystalline PrPuPd at its relaxed geometry, with properties calculated at the PBE level.

Output
Mass density = 9434 kg/m3
Energy above the most stable polymorph in this dataset = 0.0 kJ per mole of atoms
Formation enthalpy at 0 K = -0.78 eV per formula unit

Cell lengths 4.9638, 4.9638, 4.9638 Å; angles 60.00, 60.00, 60.00 degrees
With the nearest neighbours (Å) after each atom.
Fractional coordinates of all 3 atoms:
1 Pr 0.0000 0.0000 0.0000  4 Pd 3.04
2 Pu 0.5000 0.5000 0.5000  4 Pd 3.04
3 Pd 0.2500 0.2500 0.2500  4 Pr 3.04, 4 Pu 3.04


2.
Below is crystalline SmBeAsO at its relaxed geometry, with properties calculated at the PBE level.

Output
Mass density = 5724 kg/m3
Energy above the most stable polymorph in this dataset = 4.6 kJ per mole of atoms

Cell lengths 4.2280, 6.0901, 5.6402 Å; angles 90.00, 90.00, 90.00 degrees
With the nearest neighbours (Å) after each atom.
Fractional coordinates of all 8 atoms:
1 Sm 0.0000 0.2484 0.0000  2 O 2.32
2 Sm 0.0000 0.7516 0.5000  2 O 2.32
3 Be 0.5000 0.1059 0.6304  2 O 1.68-1.72
4 Be 0.5000 0.8941 0.1304  2 O 1.68-1.72
5 As 0.0000 0.2693 0.5089  2 Be 2.44
6 As 0.0000 0.7307 0.0089  2 Be 2.44
7 O 0.5000 0.1022 0.9350  2 Be 1.68-1.72
8 O 0.5000 0.8978 0.4350  2 Be 1.68-1.72


3.
Below is crystalline DyY5Er2 at its relaxed geometry, with properties calculated at the PBE level.

Output
Mass density = 6113 kg/m3
Formation enthalpy at 0 K = 0.02 eV per formula unit

Cell lengths 5.6283, 7.2448, 7.2448 Å; angles 59.97, 90.00, 90.00 degrees
With the nearest neighbours (Å) after each atom.
Fractional coordinates of all 8 atoms:
1 Dy 0.0000 0.0000 0.0000  4 Er 3.50-3.62, 8 Y 3.51-3.63
2 Y 0.0000 0.9998 0.4988  4 Er 3.51-3.62, 6 Y 3.51-3.63, 2 Dy 3.61-3.63
3 Y 0.0000 0.4988 0.9998  4 Er 3.51-3.62, 6 Y 3.51-3.63, 2 Dy 3.61-3.63
4 Y 0.5000 0.1665 0.6662  4 Er 3.50-3.63, 2 Dy 3.51, 6 Y 3.51-3.63
5 Y 0.5000 0.6662 0.1665  4 Er 3.50-3.63, 2 Dy 3.51, 6 Y 3.51-3.63
6 Y 0.5000 0.6658 0.6658  4 Er 3.50-3.62, 8 Y 3.51-3.63
7 Er 0.0000 0.4995 0.4995  10 Y 3.50-3.62, 2 Dy 3.62
8 Er 0.5000 0.1656 0.1656  2 Dy 3.50, 10 Y 3.51-3.63


4.
Below is crystalline Pr2NdNiSn3Pt2 at its relaxed geometry, with properties calculated at the PBE level.

Output
Mass density = 9890 kg/m3
E = -0.2137 hartree per atom

Cell lengths 4.0692, 7.6583, 7.6583 Å; angles 119.99, 90.00, 90.00 degrees
With the nearest neighbours (Å) after each atom.
Fractional coordinates of all 9 atoms:
1 Pr 0.0000 0.2043 0.7957  4 Pt 3.09, 1 Ni 3.13, 6 Sn 3.36-3.41
2 Pr 0.0000 0.7957 0.2043  4 Pt 3.09, 1 Ni 3.13, 6 Sn 3.36-3.41
3 Nd 0.0000 0.6124 0.6124  4 Pt 3.08, 1 Ni 3.12, 6 Sn 3.36-3.40
4 Ni 0.0000 0.2054 0.2054  6 Sn 2.75-2.76
5 Sn 0.5000 0.2051 0.4476  2 Ni 2.75, 2 Pt 2.95-2.98
6 Sn 0.5000 0.4476 0.2051  2 Ni 2.75, 2 Pt 2.95-2.98
7 Sn 0.5000 0.9610 0.9610  2 Ni 2.76, 2 Pt 2.95
8 Pt 0.5000 0.5382 0.8695  3 Sn 2.95-2.98, 2 Nd 3.08, 4 Pr 3.09
9 Pt 0.5000 0.8695 0.5382  3 Sn 2.95-2.98, 2 Nd 3.08, 4 Pr 3.09


Question: What is the mass density in the third record?
Answer: 6113 kg/m3


Question: Look up the mass density of the first one.
Answer: 9434 kg/m3


What did the fourth record say?
Below is crystalline Pr2NdNiSn3Pt2 at its relaxed geometry, with properties calculated at the PBE level.

Output
Mass density = 9890 kg/m3
E = -0.2137 hartree per atom

Cell lengths 4.0692, 7.6583, 7.6583 Å; angles 119.99, 90.00, 90.00 degrees
With the nearest neighbours (Å) after each atom.
Fractional coordinates of all 9 atoms:
1 Pr 0.0000 0.2043 0.7957  4 Pt 3.09, 1 Ni 3.13, 6 Sn 3.36-3.41
2 Pr 0.0000 0.7957 0.2043  4 Pt 3.09, 1 Ni 3.13, 6 Sn 3.36-3.41
3 Nd 0.0000 0.6124 0.6124  4 Pt 3.08, 1 Ni 3.12, 6 Sn 3.36-3.40
4 Ni 0.0000 0.2054 0.2054  6 Sn 2.75-2.76
5 Sn 0.5000 0.2051 0.4476  2 Ni 2.75, 2 Pt 2.95-2.98
6 Sn 0.5000 0.4476 0.2051  2 Ni 2.75, 2 Pt 2.95-2.98
7 Sn 0.5000 0.9610 0.9610  2 Ni 2.76, 2 Pt 2.95
8 Pt 0.5000 0.5382 0.8695  3 Sn 2.95-2.98, 2 Nd 3.08, 4 Pr 3.09
9 Pt 0.5000 0.8695 0.5382  3 Sn 2.95-2.98, 2 Nd 3.08, 4 Pr 3.09


Question: What is the mass density in the first record?
Answer: 9434 kg/m3